DFT (PBE) results for an optimized crystal structure of Ce3Si3Ir2.

SG = Cmcm, No. 63

a b c (Å): 4.1550 5.7421 15.0992
angles (deg): 90.00 90.00 111.21
Closest atoms and distances in Å follow each position.
Fractional coordinates of all 16 atoms:
Ir 0.1540 0.3079 0.3808  3 Si 2.44-2.51
Ir 0.1540 0.3079 0.1192  3 Si 2.44-2.51
Ir 0.8460 0.6921 0.6192  3 Si 2.44-2.51
Ir 0.8460 0.6921 0.8808  3 Si 2.44-2.51
Si 0.7015 0.4030 0.7500  2 Ir 2.51
Si 0.4178 0.8356 0.5510  1 Si 2.34, 2 Ir 2.44
Si 0.5822 0.1644 0.4490  1 Si 2.34, 2 Ir 2.44
Si 0.4178 0.8356 0.9490  1 Si 2.34, 2 Ir 2.44
Si 0.2985 0.5970 0.2500  2 Ir 2.51
Si 0.5822 0.1644 0.0510  1 Si 2.34, 2 Ir 2.44
Ce 0.8625 0.7250 0.4060  7 Si 3.07-3.21, 4 Ir 3.07-3.22
Ce 0.8625 0.7250 0.0940  7 Si 3.07-3.21, 4 Ir 3.07-3.22
Ce 0.1375 0.2750 0.5940  7 Si 3.07-3.21, 4 Ir 3.07-3.22
Ce 0.5856 0.1713 0.2500  4 Ir 2.96, 5 Si 3.00-3.08
Ce 0.4144 0.8287 0.7500  4 Ir 2.96, 5 Si 3.00-3.08
Ce 0.1375 0.2750 0.9060  7 Si 3.07-3.21, 4 Ir 3.07-3.22

DFT (PBE) results for an optimized crystal structure of CeSiIr3.

SG = Cmcm, No. 63

a b c (Å): 4.8457 6.8764 6.8764
angles (deg): 119.14 90.00 90.00
Closest atoms and distances in Å follow each position.
Fractional coordinates of all 10 atoms:
Ir 0.2500 0.8362 0.5320  1 Si 2.24
Ir 0.7500 0.5320 0.8362  1 Si 2.24
Ir 0.2500 0.4680 0.1638  1 Si 2.24
Ir 0.5000 0.0000 0.0000  2 Ir 2.42, 2 Si 2.53
Ir 0.0000 0.0000 0.0000  2 Ir 2.42, 2 Si 2.53
Ir 0.7500 0.1638 0.4680  1 Si 2.24
Ce 0.7500 0.5721 0.4279  1 Si 2.86, 6 Ir 2.90-2.95, 2 Ce 2.97
Ce 0.2500 0.4279 0.5721  1 Si 2.86, 6 Ir 2.90-2.95, 2 Ce 2.97
Si 0.2500 0.1870 0.8130  2 Ir 2.24
Si 0.7500 0.8130 0.1870  2 Ir 2.24

DFT (PBE) results for an optimized crystal structure of Ce2SiIr.

SG = R-3m, No. 166

a b c (Å): 3.0211 3.0211 10.4440
angles (deg): 81.68 81.68 60.00
Closest atoms and distances in Å follow each position.
Fractional coordinates of all 4 atoms:
Ir 0.0000 0.0000 0.0000  2 Ce 2.63
Ce 0.9148 0.9148 0.2555  1 Ir 2.63
Ce 0.0852 0.0852 0.7445  1 Ir 2.63
Si 0.5000 0.5000 0.5000  6 Si 3.02, 6 Ce 3.06

DFT (PBE) results for an optimized crystal structure of Ce4SiIr.

SG = Cmcm, No. 63
E above lowest polymorph = 0.29 eV per formula unit

a b c (Å): 5.1591 6.0829 10.3418
angles (deg): 90.00 104.44 90.00
Closest atoms and distances in Å follow each position.
Fractional coordinates of all 12 atoms:
Ir 0.4156 0.3222 0.8312  3 Ce 2.60-2.84
Ir 0.5844 0.8222 0.1688  3 Ce 2.60-2.84
Ce 0.8991 0.3222 0.7982  2 Ir 2.60
Ce 0.2864 0.0483 0.5728  3 Ce 2.75-2.98, 1 Ir 3.08
Ce 0.1009 0.8222 0.2018  2 Ir 2.60
Ce 0.5573 0.3222 0.1146  3 Ir 2.84-3.09
Ce 0.4427 0.8222 0.8854  3 Ir 2.84-3.09
Ce 0.7136 0.5483 0.4272  3 Ce 2.75-2.98, 1 Ir 3.08
Ce 0.2864 0.5962 0.5728  3 Ce 2.75-2.98, 1 Ir 3.08
Ce 0.7136 0.0962 0.4272  3 Ce 2.75-2.98, 1 Ir 3.08
Si 0.8456 0.8222 0.6913  10 Ce 3.13-3.23
Si 0.1544 0.3222 0.3087  10 Ce 3.13-3.23

no.,V (A^3/atom),uncorrected formation energy (eV/atom)
1,20.99,-0.89
2,20.01,0.10
3,20.35,0.02
4,26.19,-0.43